Np2AlTl3S6 | GGA-PBE | optimized geometry

Summary:
Energy relative to the elements, uncorrected, meV/atom: -887.5
Magnetic moment, μB/f.u.: 7.98
Density of states at the Fermi level, states/eV/cell: 42.1

Lattice parameters (Å, degrees): 6.8216 11.7768 7.8644 90.00 106.87 90.00
Closest atoms and distances in Å follow each position.
Space group C2/m (No. 12)
Inequivalent atoms, fractional coordinates:
Np 0.0000 0.1657 0.0000 (multiplicity 4)  6 S 2.74-2.76
Al 0.0000 0.5000 0.0000 (multiplicity 2)  6 S 2.48-2.54
Tl 0.0000 0.0000 0.5000 (multiplicity 2)  6 S 3.24-3.39
Tl 0.0000 0.3277 0.5000 (multiplicity 4)  6 S 3.23-3.40
S 0.2131 0.3478 0.1816 (multiplicity 8)  1 Al 2.48, 2 Np 2.74-2.75
S 0.2431 0.5000 0.8099 (multiplicity 4)  1 Al 2.54, 2 Np 2.76

Np3AlTl3S8 | GGA-PBE | optimized geometry

Summary:
Energy relative to the elements, uncorrected, meV/atom: -991.0
Magnetic moment, μB/f.u.: 11.00
Density of states at the Fermi level, states/eV/cell: 81.7

Lattice parameters (Å, degrees): 7.8828 7.8828 22.7592 90.00 90.00 120.00
Closest atoms and distances in Å follow each position.
Space group R-3m (No. 166, hexagonal axes)
Inequivalent atoms, fractional coordinates:
Np 0.0000 0.5000 0.0000 (multiplicity 9)  6 S 2.72-2.74
Al 0.0000 0.0000 0.0000 (multiplicity 3)  6 S 2.50
Tl 0.0000 0.5000 0.5000 (multiplicity 9)  6 S 3.24-3.26
S 0.0000 0.0000 0.2681 (multiplicity 6)  3 Np 2.72
S 0.0269 0.5134 0.7271 (multiplicity 18)  1 Al 2.50, 2 Np 2.74

NpAlTl2S4 | GGA-PBE | optimized geometry

Summary:
Energy relative to the elements, uncorrected, meV/atom: -759.5
Magnetic moment, μB/f.u.: 3.95
Density of states at the Fermi level, states/eV/cell: 33.1

Lattice parameters (Å, degrees): 7.8268 8.5035 11.5628 90.00 90.00 90.00
Closest atoms and distances in Å follow each position.
Space group Imma (No. 74)
Inequivalent atoms, fractional coordinates:
Np 0.0000 0.0000 0.0000 (multiplicity 4)  6 S 2.78-2.81
Al 0.2500 0.2500 0.2500 (multiplicity 4)  6 S 2.52-2.56
Tl 0.0000 0.0000 0.5000 (multiplicity 4)  6 S 3.06
Tl 0.2500 0.2500 0.7500 (multiplicity 4)  6 S 3.26-3.28
S 0.0000 0.0569 0.2391 (multiplicity 8)  2 Al 2.56, 1 Np 2.81
S 0.2234 0.2500 0.0332 (multiplicity 8)  1 Al 2.52, 2 Np 2.78

NpAlTlS4 | GGA-PBE | optimized geometry

Summary:
Energy relative to the elements, uncorrected, meV/atom: -982.2
Magnetic moment, μB/f.u.: 3.00
Density of states at the Fermi level, states/eV/cell: 16.9

Lattice parameters (Å, degrees): 6.4959 6.5541 8.8351 90.00 108.09 90.00
Closest atoms and distances in Å follow each position.
Space group P2_1/m (No. 11)
Inequivalent atoms, fractional coordinates:
Np 0.2238 0.2500 0.0519 (multiplicity 2)  6 S 2.69-2.78
Al 0.2323 0.7500 0.8309 (multiplicity 2)  4 S 2.22-2.26
Tl 0.2672 0.2500 0.5623 (multiplicity 2)  2 S 3.10-3.22
S 0.0085 0.5072 0.2012 (multiplicity 4)  1 Al 2.26
S 0.4399 0.7500 0.6725 (multiplicity 2)  1 Al 2.22
S 0.4570 0.7500 0.0818 (multiplicity 2)  1 Al 2.24

NpAl4Sb | GGA-PBE | optimized geometry

Summary:
Energy relative to the elements, uncorrected, meV/atom: 56.4
Magnetic moment, μB/f.u.: 5.08
Density of states at the Fermi level, states/eV/cell: 61.8

Lattice parameters (Å, degrees): 7.8184 7.8184 7.8184 90.00 90.00 90.00
Closest atoms and distances in Å follow each position.
Space group F-43m (No. 216)
Inequivalent atoms, fractional coordinates:
Np 0.0000 0.0000 0.0000 (multiplicity 4)  12 Al 3.24, 4 Sb 3.39
Al 0.1256 0.1256 0.3744 (multiplicity 16)  6 Al 2.75-2.78
Sb 0.2500 0.2500 0.7500 (multiplicity 4)  12 Al 3.24, 4 Np 3.39

NpAlSb | GGA-PBE | optimized geometry

Summary:
Energy relative to the elements, uncorrected, meV/atom: 2.9
Magnetic moment, μB/f.u.: 4.89
Density of states at the Fermi level, states/eV/cell: 11.5

Lattice parameters (Å, degrees): 3.6099 3.6099 10.6971 90.00 90.00 90.00
Closest atoms and distances in Å follow each position.
Space group I4mm (No. 107)
Inequivalent atoms, fractional coordinates:
Np 0.0000 0.0000 0.0000 (multiplicity 2)  5 Al 3.23-3.38, 5 Sb 3.26-3.32, 4 Np 3.61
Al 0.0000 0.0000 0.3157 (multiplicity 2)  4 Sb 2.88, 4 Np 3.23
Sb 0.0000 0.0000 0.6901 (multiplicity 2)  4 Al 2.88

NpAlSb | GGA-PBE | optimized geometry

Summary:
Energy relative to the elements, uncorrected, meV/atom: 322.5
Magnetic moment, μB/f.u.: 3.01
Density of states at the Fermi level, states/eV/cell: 9.3

Lattice parameters (Å, degrees): 3.8857 3.8857 9.6155 90.00 90.00 90.00
Closest atoms and distances in Å follow each position.
Space group P4/nmm (No. 129, origin choice 2)
Inequivalent atoms, fractional coordinates:
Np 0.2500 0.7500 0.0000 (multiplicity 2)  4 Np 2.75
Al 0.2500 0.7500 0.5000 (multiplicity 2)  4 Al 2.75, 4 Sb 3.01
Sb 0.2500 0.2500 0.2609 (multiplicity 2)  4 Al 3.01, 4 Np 3.17

NpAlSb | GGA-PBE | optimized geometry

Summary:
Energy relative to the elements, uncorrected, meV/atom: -1.5
Magnetic moment, μB/f.u.: 4.52
Density of states at the Fermi level, states/eV/cell: 7.0

Lattice parameters (Å, degrees): 4.7863 4.7863 3.4656 90.00 90.00 120.00
Closest atoms and distances in Å follow each position.
Space group P-6m2 (No. 187)
Inequivalent atoms, fractional coordinates:
Np 0.0000 0.0000 0.0000 (multiplicity 1)  6 Al 3.26, 6 Sb 3.26, 2 Np 3.47
Al 0.3333 0.6667 0.5000 (multiplicity 1)  3 Sb 2.76
Sb 0.6667 0.3333 0.5000 (multiplicity 1)  3 Al 2.76

Np2AlSb4 | GGA-PBE | optimized geometry

Summary:
Energy relative to the elements, uncorrected, meV/atom: -178.2
Magnetic moment, μB/f.u.: 8.35
Density of states at the Fermi level, states/eV/cell: 21.0

Lattice parameters (Å, degrees): 4.3638 4.3638 9.7670 90.00 90.00 90.00
Closest atoms and distances in Å follow each position.
Space group P-4m2 (No. 115)
Inequivalent atoms, fractional coordinates:
Np 0.0000 0.5000 0.2480 (multiplicity 2)  8 Sb 3.19-3.26, 2 Al 3.29
Al 0.0000 0.0000 0.5000 (multiplicity 1)  4 Sb 2.73
Sb 0.0000 0.0000 0.0000 (multiplicity 1)  4 Sb 3.09, 4 Np 3.26
Sb 0.0000 0.5000 0.6672 (multiplicity 2)  2 Al 2.73
Sb 0.5000 0.5000 0.0000 (multiplicity 1)  4 Sb 3.09, 4 Np 3.26

Np2AlSb | GGA-PBE | optimized geometry

Summary:
Energy relative to the elements, uncorrected, meV/atom: -24.1
Magnetic moment, μB/f.u.: 8.96
Density of states at the Fermi level, states/eV/cell: 11.0

Lattice parameters (Å, degrees): 4.4738 4.4738 4.5985 90.00 90.00 90.00
Closest atoms and distances in Å follow each position.
Space group P4/mmm (No. 123)
Inequivalent atoms, fractional coordinates:
Np 0.0000 0.5000 0.0000 (multiplicity 2)  4 Np 3.16, 4 Al 3.21, 4 Sb 3.21
Al 0.0000 0.0000 0.5000 (multiplicity 1)  4 Sb 3.16, 8 Np 3.21
Sb 0.5000 0.5000 0.5000 (multiplicity 1)  4 Al 3.16, 8 Np 3.21

Np5Al12Sb3 | GGA-PBE | optimized geometry

Summary:
Energy relative to the elements, uncorrected, meV/atom: 868.0
Magnetic moment, μB/f.u.: 22.68
Density of states at the Fermi level, states/eV/cell: 429.9

Lattice parameters (Å, degrees): 17.0475 17.0475 17.0475 90.00 90.00 90.00
Closest atoms and distances in Å follow each position.
Space group Ia-3d (No. 230)
Inequivalent atoms, fractional coordinates:
Np 0.0000 0.0000 0.0000 (multiplicity 16)  6 Al 2.90
Np 0.0000 0.2500 0.3750 (multiplicity 24)  4 Al 3.17
Al 0.0066 0.0831 0.1482 (multiplicity 96)  3 Al 2.70-2.96, 2 Sb 2.88-3.02, 1 Np 2.90
Sb 0.0000 0.2500 0.1250 (multiplicity 24)  8 Al 2.88-3.02

NpSc2Al9 | GGA-PBE | optimized geometry

Summary:
Energy of formation, eV per atom: -0.339
Magnetic moment, μB/f.u.: 4.13
Density of states at the Fermi level, states/eV/cell: 9.3

Lattice parameters (Å, degrees): 4.1549 4.1549 12.4851 90.00 90.00 90.00
Closest atoms and distances in Å follow each position.
Space group P4/mmm (No. 123)
Inequivalent atoms, fractional coordinates:
Np 0.0000 0.0000 0.0000 (multiplicity 1)  12 Al 2.94-2.98
Sc 0.0000 0.0000 0.3363 (multiplicity 2)  12 Al 2.91-2.94
Al 0.0000 0.5000 0.1715 (multiplicity 4)  8 Al 2.92-2.98, 2 Sc 2.92, 2 Np 2.98
Al 0.0000 0.5000 0.5000 (multiplicity 2)  4 Sc 2.91, 8 Al 2.92-2.94
Al 0.5000 0.5000 0.0000 (multiplicity 1)  4 Np 2.94, 8 Al 2.98
Al 0.5000 0.5000 0.3358 (multiplicity 2)  8 Al 2.92, 4 Sc 2.94

NpSc2Al | GGA-PBE | optimized geometry

Summary:
Energy of formation, eV per atom: 0.168
Distance to the lowest polymorph of the same formula, kJ per mole of atoms: 18.5
Magnetic moment, μB/f.u.: 5.45
Density of states at the Fermi level, states/eV/cell: 47.8

Lattice parameters (Å, degrees): 7.0622 7.0622 7.0622 90.00 90.00 90.00
Closest atoms and distances in Å follow each position.
Space group Fm-3m (No. 225)
Inequivalent atoms, fractional coordinates:
Np 0.0000 0.0000 0.0000 (multiplicity 4)  8 Sc 3.06
Sc 0.2500 0.2500 0.2500 (multiplicity 8)  4 Np 3.06, 4 Al 3.06
Al 0.0000 0.0000 0.5000 (multiplicity 4)  8 Sc 3.06

NpSc2Al | GGA-PBE | optimized geometry

Summary:
Energy of formation, eV per atom: -0.024
Distance to the lowest polymorph of the same formula, kJ per mole of atoms: 0.0
Magnetic moment, μB/f.u.: 3.56
Density of states at the Fermi level, states/eV/cell: 7.2

Lattice parameters (Å, degrees): 3.1225 3.1225 8.6549 90.00 90.00 90.00
Closest atoms and distances in Å follow each position.
Space group P4/mmm (No. 123)
Inequivalent atoms, fractional coordinates:
Np 0.0000 0.0000 0.0000 (multiplicity 1)  4 Np 3.12, 8 Sc 3.22
Sc 0.5000 0.5000 0.2713 (multiplicity 2)  4 Al 2.97, 4 Sc 3.12, 4 Np 3.22
Al 0.0000 0.0000 0.5000 (multiplicity 1)  8 Sc 2.97, 4 Al 3.12

NpScAl | GGA-PBE | optimized geometry

Summary:
Energy of formation, eV per atom: 0.293
Magnetic moment, μB/f.u.: 3.63
Density of states at the Fermi level, states/eV/cell: 77.4

Lattice parameters (Å, degrees): 7.4632 7.4752 19.7914 90.00 90.00 90.00
Closest atoms and distances in Å follow each position.
Space group Fddd (No. 70, origin choice 2)
Inequivalent atoms, fractional coordinates:
Np 0.0000 0.0000 0.0000 (multiplicity 16)  2 Np 2.64, 2 Sc 2.84, 4 Al 2.95
Sc 0.1250 0.3621 0.6250 (multiplicity 16)  2 Np 2.84, 4 Al 3.07
Al 0.1250 0.1250 0.4981 (multiplicity 16)  2 Al 2.64, 4 Np 2.95

NpScAlTc | GGA-PBE | optimized geometry

Summary:
Energy of formation, eV per atom: -0.010
Magnetic moment, μB/f.u.: 3.58
Density of states at the Fermi level, states/eV/cell: 53.4

Lattice parameters (Å, degrees): 6.6345 6.6345 6.6345 90.00 90.00 90.00
Closest atoms and distances in Å follow each position.
Space group F-43m (No. 216)
Inequivalent atoms, fractional coordinates:
Np 0.0000 0.0000 0.0000 (multiplicity 4)  4 Tc 2.87, 4 Sc 2.87
Sc 0.2500 0.2500 0.2500 (multiplicity 4)  4 Np 2.87, 4 Al 2.87
Al 0.0000 0.0000 0.5000 (multiplicity 4)  4 Tc 2.87, 4 Sc 2.87
Tc 0.2500 0.2500 0.7500 (multiplicity 4)  4 Np 2.87, 4 Al 2.87

NpScTiAl | GGA-PBE | optimized geometry

Summary:
Energy of formation, eV per atom: 0.145
Magnetic moment, μB/f.u.: 5.03
Density of states at the Fermi level, states/eV/cell: 41.2

Lattice parameters (Å, degrees): 6.8033 6.8033 6.8033 90.00 90.00 90.00
Closest atoms and distances in Å follow each position.
Space group F-43m (No. 216)
Inequivalent atoms, fractional coordinates:
Np 0.0000 0.0000 0.0000 (multiplicity 4)  4 Ti 2.95, 4 Sc 2.95
Sc 0.2500 0.2500 0.2500 (multiplicity 4)  4 Np 2.95, 4 Al 2.95
Ti 0.2500 0.2500 0.7500 (multiplicity 4)  4 Np 2.95, 4 Al 2.95
Al 0.0000 0.0000 0.5000 (multiplicity 4)  4 Sc 2.95, 4 Ti 2.95

Np6AlSe12 | GGA-PBE | optimized geometry

Summary:
Energy relative to the elements, uncorrected, meV/atom: -1060.2
Magnetic moment, μB/f.u.: 21.00
Density of states at the Fermi level, states/eV/cell: 196.4

Lattice parameters (Å, degrees): 12.4250 12.4250 11.3736 90.00 90.00 120.00
Closest atoms and distances in Å follow each position.
Space group R-3 (No. 148, hexagonal axes)
Inequivalent atoms, fractional coordinates:
Np 0.0527 0.2738 0.1472 (multiplicity 18)  7 Se 2.82-3.04
Al 0.0000 0.0000 0.5000 (multiplicity 3)  6 Se 2.56
Se 0.0346 0.2160 0.8932 (multiplicity 18)  4 Np 2.82-2.98
Se 0.0524 0.1991 0.3874 (multiplicity 18)  1 Al 2.56

NpAl2Se6 | GGA-PBE | optimized geometry

Summary:
Energy relative to the elements, uncorrected, meV/atom: -645.1
Magnetic moment, μB/f.u.: 2.11
Density of states at the Fermi level, states/eV/cell: 41.2

Lattice parameters (Å, degrees): 12.6729 11.6663 6.9748 90.00 98.87 90.00
Closest atoms and distances in Å follow each position.
Space group C2/c (No. 15)
Inequivalent atoms, fractional coordinates:
Np 0.0000 0.1007 0.2500 (multiplicity 4)  6 Se 2.68-2.80
Al 0.1853 0.4296 0.3498 (multiplicity 8)  4 Se 2.39-2.47
Se 0.1183 0.0784 0.6208 (multiplicity 8)  1 Al 2.47
Se 0.1232 0.4076 0.6563 (multiplicity 8)  2 Al 2.39-2.40
Se 0.1415 0.2556 0.1644 (multiplicity 8)  1 Al 2.42, 1 Np 2.68